# AlSi4Ni2

A relaxed AlSi4Ni2 crystal (PBE, Alexandria via LeMat-Bulk).

The space group is P-3m1 (No. 164) and the conventional cell measures 3.7531, 3.7531 and 19.6974 Å, with angles of 90.00, 90.00 and 120.00 degrees. The asymmetric unit holds Al at (0.3333, 0.6667, 0.3925), Si at (0.3333, 0.6667, 0.0386), Si at (0.3333, 0.6667, 0.2664), Si at (0.3333, 0.6667, 0.5340), Si at (0.3333, 0.6667, 0.8038), Ni at (0.0000, 0.0000, 0.2322) and Ni at (0.3333, 0.6667, 0.9203).

Its crystal system is trigonal. The value obtained for the total moment is 0.0 μB/cell. Its calculated volume is 240.3 Å³/cell. The calculation puts the uncorrected formation energy at 0.270 eV/f.u. Its excess energy over the best structure of this formula in the dataset is 1.65 eV/f.u. The electronic total energy is -0.193 hartree per atom.